First-principles (PBE-GGA) data for a relaxed TaSe3 crystal, as listed in Alexandria.

Lattice parameters (Å, degrees): 6.6795 6.6795 6.6795 57.53 57.53 57.53
With the nearest neighbours (Å) after each atom.
Positions (direct):
Ta 0.0000 0.0000 0.0000  6 Se 2.56
Ta 0.5000 0.5000 0.5000  6 Se 2.56
Se 0.0812 0.7500 0.4188  2 Ta 2.56
Se 0.2500 0.5812 0.9188  2 Ta 2.56
Se 0.4188 0.0812 0.7500  2 Ta 2.56
Se 0.5812 0.9188 0.2500  2 Ta 2.56
Se 0.7500 0.4188 0.0812  2 Ta 2.56
Se 0.9188 0.2500 0.5812  2 Ta 2.56

Values from the calculation:
formation energy from raw total energies: -0.319 eV per atom
space-group type: No. 167